Compound: Pr2TlCoO6
Source: Alexandria
Functional: GGA+U
Structure: optimized geometry

Computed properties:
For the calculated volume, the calculation gives 264.9 Å³/cell. As for the total magnetization: 0.00 μB/atom. The total energy comes out at -66.9 eV per formula unit.

Cell: 5.5911 5.8973 9.7357 Å, 90.00 124.39 90.00°
Space group P2_1/c (No. 14)
Inequivalent atoms, fractional coordinates:
Pr1 0.2303 0.0642 0.2503 [4 per cell]
Tl1 0.5000 0.0000 0.0000 [2 per cell]
Co1 0.0000 0.0000 0.5000 [2 per cell]
O1 0.1109 0.2198 0.9363 [4 per cell]
O2 0.2319 0.6808 0.9469 [4 per cell]
O3 0.3402 0.0420 0.7286 [4 per cell]